1.
Crystalline Li4GeIr2Pb at its relaxed geometry. Source: OQMD via LeMat-Bulk, functional PBE.

The structure in extended XYZ format:
```
8
Lattice="4.2897 0.0000 0.0000 0.0000 4.2897 0.0000 0.0000 0.0000 6.4261" Properties=species:S:1:pos:R:3 pbc="T T T"
Ge 0.0000 0.0000 0.0000
Ir 2.1449 0.0000 1.3972
Ir 0.0000 2.1449 5.0289
Li 2.1449 2.1449 0.0000
Li 0.0000 2.1449 1.4307
Li 0.0000 0.0000 3.2131
Li 2.1449 0.0000 4.9955
Pb 2.1449 2.1449 3.2131
```

Total magnetic moment (μB per cell): 0.02
E_tot (eV/cell): -36.17
Calculated volume (Å³/cell): 118



2.
Crystalline Sm3Ho2ErCoTe2 at its relaxed geometry. Source: OQMD via LeMat-Bulk, functional PBE.

The structure in extended XYZ format:
```
9
Lattice="-3.7059 1.2853 0.6076 -2.4427 -7.8552 1.7179 2.7436 4.9884 6.1814" Properties=species:S:1:pos:R:3 pbc="T T T"
Co -1.5524 -2.2215 8.1960
Er 0.2311 -2.2015 6.0663
Ho -0.5679 -1.8261 0.3994
Ho 0.6378 1.1597 1.4370
Sm -3.3125 -4.0510 1.3303
Sm -1.7317 -0.5123 3.4863
Sm -0.2136 3.6234 3.9974
Te -0.7131 -3.5723 3.2073
Te 1.0140 0.7049 4.6938
```

Total magnetic moment (μB per cell): 0.04
E_tot (eV/cell): -47.59
Calculated volume (Å³/cell): 243



Please write out number 2 again, unchanged.
Crystalline Sm3Ho2ErCoTe2 at its relaxed geometry. Source: OQMD via LeMat-Bulk, functional PBE.

The structure in extended XYZ format:
```
9
Lattice="-3.7059 1.2853 0.6076 -2.4427 -7.8552 1.7179 2.7436 4.9884 6.1814" Properties=species:S:1:pos:R:3 pbc="T T T"
Co -1.5524 -2.2215 8.1960
Er 0.2311 -2.2015 6.0663
Ho -0.5679 -1.8261 0.3994
Ho 0.6378 1.1597 1.4370
Sm -3.3125 -4.0510 1.3303
Sm -1.7317 -0.5123 3.4863
Sm -0.2136 3.6234 3.9974
Te -0.7131 -3.5723 3.2073
Te 1.0140 0.7049 4.6938
```

Total magnetic moment (μB per cell): 0.04
E_tot (eV/cell): -47.59
Calculated volume (Å³/cell): 243



- Among the records above, which one has the lowest total magnetic moment?
  Li4GeIr2Pb



- calculated volume of number 1 (Li4GeIr2Pb)?
  118 Å³/cell



- The lowest calculated volume belongs to which entry?
  Li4GeIr2Pb